--- i ---
Computed, not measured: a relaxed structure of MoPtBr at the PBE level of DFT.

Cell lengths 6.831, 6.831, 3.007 Å; angles 77.29, 77.29, 25.43 degrees
Fractional coordinates of all 3 atoms:
Mo 0.669 0.669 0.331
Br 0.036 0.036 0.964
Pt 0.295 0.295 0.705

***

--- ii ---
Computed, not measured: a relaxed structure of MoPtBr at the PBE level of DFT.

Cell lengths 4.273, 4.273, 3.284 Å; angles 90.00, 90.00, 120.00 degrees
Fractional coordinates of all 3 atoms:
Mo 0.667 0.333 0.228
Br 0.000 0.000 0.092
Pt 0.333 0.667 0.680

***

--- iii ---
Computed, not measured: a relaxed structure of MoPtBr at the PBE level of DFT.

Cell lengths 3.048, 3.048, 6.771 Å; angles 90.00, 90.00, 120.00 degrees
Fractional coordinates of all 3 atoms:
Mo 0.667 0.333 0.331
Br 0.000 0.000 0.039
Pt 0.333 0.667 0.630

***

In terms of stability, i leads; the second structure lies 1.4 kJ/mol of atoms higher.